4
Lattice="3.9108 0.0000 0.0000 -1.9554 3.5465 0.0576 0.0000 0.1093 7.5453" Properties=species:S:1:pos:R:3 comment="Te2RhBr PBEsol optimized geometry" magnetic_moment_mub_per_fu=0.00 space_group="C2/m (12)" e_form_raw_ev_per_atom=-0.340 pbc="T T T"
Rh 1.9554 0.0546 3.7727
Te 1.9554 2.3668 5.0746
Br 0.0000 0.0000 0.0000
Te 0.0000 1.2890 2.5283